An optimized crystal structure of MnVFe2, computed with PBE.

Computed properties:
As for the total moment: 10.14 Bohr magnetons per cell. The formation energy comes out at 22 meV/atom. The mass density comes out at 8.0 g/cm3.

Structure (CIF):
```
data_MnVFe2
_chemical_formula_sum 'Mn4 V4 Fe8'
_cell_length_a 5.0030
_cell_length_b 5.0107
_cell_length_c 7.2136
_cell_angle_alpha 90.00
_cell_angle_beta 90.00
_cell_angle_gamma 90.00
_space_group_name_H-M_alt 'F m m m'
_space_group_IT_number 69
_space_group_name_Hall '-F 2 2'
loop_
_atom_site_label
_atom_site_type_symbol
_atom_site_fract_x
_atom_site_fract_y
_atom_site_fract_z
Mn1 Mn 0.0000 0.0000 0.0000
V1 V 0.0000 0.0000 0.5000
Fe1 Fe 0.2500 0.2500 0.2500
```


An optimized crystal structure of MnVFe2, computed with PBE.

Computed properties:
As for the total moment: 21.38 Bohr magnetons per cell. The formation energy comes out at 446 meV/atom. The mass density comes out at 7.0 g/cm3.

Structure (CIF):
```
data_MnVFe2
_chemical_formula_sum 'Mn4 V4 Fe8'
_cell_length_a 3.3901
_cell_length_b 3.3901
_cell_length_c 17.9130
_cell_angle_alpha 90.00
_cell_angle_beta 90.00
_cell_angle_gamma 90.00
_space_group_name_H-M_alt 'I -4 2 d'
_space_group_IT_number 122
_space_group_name_Hall 'I -4 2bw'
loop_
_atom_site_label
_atom_site_type_symbol
_atom_site_fract_x
_atom_site_fract_y
_atom_site_fract_z
Mn1 Mn 0.0000 0.0000 0.0000
V1 V 0.0000 0.0000 0.5000
Fe1 Fe 0.2452 0.2500 0.1250
```


An optimized crystal structure of MnV2Fe2, computed with PBE.

Computed properties:
As for the total moment: 4.44 Bohr magnetons per cell. The formation energy comes out at 36 meV/atom. The mass density comes out at 7.3 g/cm3.

Structure (CIF):
```
data_MnV2Fe2
_chemical_formula_sum 'Mn2 V4 Fe4'
_cell_length_a 2.9049
_cell_length_b 14.6693
_cell_length_c 2.8674
_cell_angle_alpha 90.00
_cell_angle_beta 90.00
_cell_angle_gamma 90.00
_space_group_name_H-M_alt 'C m m m'
_space_group_IT_number 65
_space_group_name_Hall '-C 2 2'
loop_
_atom_site_label
_atom_site_type_symbol
_atom_site_fract_x
_atom_site_fract_y
_atom_site_fract_z
Mn1 Mn 0.0000 0.0000 0.0000
V1 V 0.0000 0.4002 0.5000
Fe1 Fe 0.0000 0.1873 0.0000
```